No. 1
A relaxed structure of BAs2O. Source: Alexandria, functional PBE.

Geometry as CIF:
```
data_BAs2O
_cell_length_a 5.7477
_cell_length_b 5.7477
_cell_length_c 5.7477
_cell_angle_alpha 90.00
_cell_angle_beta 90.00
_cell_angle_gamma 90.00
_space_group_name_H-M_alt 'F m -3 m'
_space_group_IT_number 225
_space_group_name_Hall '-F 4 2 3'
loop_
_atom_site_label
_atom_site_fract_x
_atom_site_fract_y
_atom_site_fract_z
_atom_site_occupancy
B1 0.0000 0.0000 0.0000 1
As1 0.2500 0.2500 0.2500 1
O1 0.0000 0.0000 0.5000 1
```

Summary:
The value obtained for the energy above the lowest structure with this stoichiometry is 195.7 kJ/mol of formula units. Its theoretical density is 6.2 g/cm³. Its uncorrected formation energy is 0.747 eV/atom.

No. 2
A relaxed structure of ReHgS2Cl. Source: Alexandria, functional PBE.

Geometry as CIF:
```
data_ReHgS2Cl
_cell_length_a 5.0186
_cell_length_b 5.0186
_cell_length_c 5.0649
_cell_angle_alpha 90.00
_cell_angle_beta 90.00
_cell_angle_gamma 90.00
_space_group_name_H-M_alt 'P 4/m m m'
_space_group_IT_number 123
_space_group_name_Hall '-P 4 2'
loop_
_atom_site_label
_atom_site_fract_x
_atom_site_fract_y
_atom_site_fract_z
_atom_site_occupancy
Re1 0.0000 0.0000 0.0000 1
Hg1 0.5000 0.5000 0.5000 1
S1 0.0000 0.5000 0.5000 1
Cl1 0.5000 0.5000 0.0000 1
```

Summary:
The value obtained for the energy above the lowest structure with this stoichiometry is 660.0 kJ/mol of formula units. Its theoretical density is 6.3 g/cm³. Its uncorrected formation energy is 1.492 eV/atom.

Q: Which of these has the highest theoretical density?
A: ReHgS2Cl

Q: Which of these has the highest energy above the lowest structure with this stoichiometry?
A: ReHgS2Cl

Q: The highest energy above the lowest structure with this stoichiometry belongs to which entry?
A: ReHgS2Cl